[1]
! Cs2TmUS6, relaxed, DFT PBE; values from VASP
! Total moment, μB/f.u.: 0.0
! Density of states at the Fermi level, states/eV/cell: 13.61
! Energy relative to the elements, uncorrected, eV per atom: -1.362
&SYSTEM
  ibrav = 0, nat = 20, ntyp = 4
/
ATOMIC_SPECIES
S 32.06 S.upf
Cs 132.91 Cs.upf
Tm 168.93 Tm.upf
U 238.03 U.upf
CELL_PARAMETERS angstrom
7.4298 0.0000 0.0000
0.0000 7.4293 0.0000
0.0000 0.0000 10.5057
ATOMIC_POSITIONS crystal
S 0.7569 0.9935 0.0000
S 0.0000 0.7502 0.7568
Cs 0.0000 0.2501 0.2500
Tm 0.0000 0.7497 0.5000
S 0.5000 0.2498 0.2568
S 0.2431 0.9935 0.0000
U 0.0000 0.7503 0.0000
S 0.7569 0.5071 0.0000
U 0.5000 0.2497 0.5000
S 0.5000 0.2498 0.7432
S 0.7431 0.4929 0.5000
S 0.2431 0.5071 0.0000
S 0.2569 0.0065 0.5000
Tm 0.5000 0.2503 0.0000
S 0.2569 0.4929 0.5000
S 0.0000 0.7502 0.2432
Cs 0.5000 0.7499 0.2500
S 0.7431 0.0065 0.5000
Cs 0.0000 0.2501 0.7500
Cs 0.5000 0.7499 0.7500


[2]
! CsTmUS4, relaxed, DFT PBE; values from VASP
! Total moment, μB/f.u.: 2.0
! Density of states at the Fermi level, states/eV/cell: 9.98
! Energy relative to the elements, uncorrected, eV per atom: -1.522
&SYSTEM
  ibrav = 0, nat = 14, ntyp = 4
/
ATOMIC_SPECIES
S 32.06 S.upf
Cs 132.91 Cs.upf
Tm 168.93 Tm.upf
U 238.03 U.upf
CELL_PARAMETERS angstrom
-3.2531 4.5369 -6.5788
2.9143 -7.8939 -1.2268
-7.1971 1.2923 4.4500
ATOMIC_POSITIONS crystal
S 0.2709 0.5417 0.3236
Cs 0.1222 0.2444 0.8722
Tm 0.5000 0.0000 0.5000
S 0.7291 0.4583 0.2818
S 0.2769 0.9511 0.7256
S 0.7291 0.4583 0.6764
U 0.5000 0.5000 0.5000
S 0.6743 0.9511 0.7256
Cs 0.8778 0.7556 0.1278
Tm 0.5000 0.0000 0.0000
S 0.3257 0.0489 0.2744
S 0.7231 0.0489 0.2744
U 0.0000 0.5000 0.5000
S 0.2709 0.5417 0.7182


[3]
! Cs2Tm2US6, relaxed, DFT PBE; values from VASP
! Total moment, μB/f.u.: 2.0
! Density of states at the Fermi level, states/eV/cell: 7.02
! Energy relative to the elements, uncorrected, eV per atom: -1.741
&SYSTEM
  ibrav = 0, nat = 11, ntyp = 4
/
ATOMIC_SPECIES
Tm 168.93 Tm.upf
Cs 132.91 Cs.upf
S 32.06 S.upf
U 238.03 U.upf
CELL_PARAMETERS angstrom
6.9364 -0.0274 0.0530
-3.4522 6.0164 0.0530
-1.2488 -2.1466 8.2111
ATOMIC_POSITIONS crystal
Tm 0.6667 0.3333 0.5000
Cs 0.8320 0.1680 0.0000
S 0.7283 0.7283 0.6752
S 0.2717 0.2717 0.3248
S 0.9414 0.6085 0.3245
S 0.0586 0.3915 0.6755
S 0.6085 0.9414 0.3245
Cs 0.1680 0.8320 0.0000
U 0.0000 0.0000 0.5000
Tm 0.3333 0.6667 0.5000
S 0.3915 0.0586 0.6755


[4]
! Cs3YTm2S6, relaxed, DFT PBE; values from VASP
! Total moment, μB/f.u.: 0.0
! Density of states at the Fermi level, states/eV/cell: 0.00
! Energy relative to the elements, uncorrected, eV per atom: -1.830
&SYSTEM
  ibrav = 0, nat = 12, ntyp = 4
/
ATOMIC_SPECIES
Tm 168.93 Tm.upf
Cs 132.91 Cs.upf
S 32.06 S.upf
Y 88.91 Y.upf
CELL_PARAMETERS angstrom
7.0547 -0.0010 0.0004
-3.5266 6.1101 0.0004
-1.1763 -2.0368 8.0548
ATOMIC_POSITIONS crystal
Tm 0.6667 0.3333 0.0000
Cs 0.1661 0.8339 0.5000
S 0.2770 0.2770 0.8199
S 0.6029 0.9399 0.8197
Cs 0.5000 0.5000 0.5000
Tm 0.3333 0.6667 0.0000
S 0.9399 0.6029 0.8197
Cs 0.8339 0.1661 0.5000
S 0.0601 0.3971 0.1803
S 0.7230 0.7230 0.1801
S 0.3971 0.0601 0.1803
Y 0.0000 0.0000 0.0000


[5]
! CsTmZnS3, relaxed, DFT PBE; values from VASP
! Total moment, μB/f.u.: 0.0
! Density of states at the Fermi level, states/eV/cell: 0.00
! Energy relative to the elements, uncorrected, eV per atom: -1.498
&SYSTEM
  ibrav = 0, nat = 12, ntyp = 4
/
ATOMIC_SPECIES
Zn 65.41 Zn.upf
Cs 132.91 Cs.upf
Tm 168.93 Tm.upf
S 32.06 S.upf
CELL_PARAMETERS angstrom
3.9994 0.0000 0.0000
0.0000 9.3159 -0.6378
0.0000 -3.1111 9.4047
ATOMIC_POSITIONS crystal
Zn 0.7500 0.9164 0.3885
Cs 0.7500 0.7820 0.7576
Cs 0.2500 0.2180 0.2424
Tm 0.7500 0.3334 0.8624
S 0.7500 0.8699 0.1433
Tm 0.2500 0.6666 0.1376
S 0.7500 0.4774 0.1504
S 0.2500 0.5226 0.8496
S 0.2500 0.8110 0.4525
Zn 0.2500 0.0836 0.6115
S 0.7500 0.1890 0.5475
S 0.2500 0.1301 0.8567


[6]
! Cs2Tm2ZrS6, relaxed, DFT PBE; values from VASP
! Total moment, μB/f.u.: 0.0
! Density of states at the Fermi level, states/eV/cell: 0.00
! Energy relative to the elements, uncorrected, eV per atom: -1.796
&SYSTEM
  ibrav = 0, nat = 11, ntyp = 4
/
ATOMIC_SPECIES
S 32.06 S.upf
Zr 91.22 Zr.upf
Tm 168.93 Tm.upf
Cs 132.91 Cs.upf
CELL_PARAMETERS angstrom
-3.8679 -1.2111 5.4164
5.8570 -3.2999 -0.7560
3.2259 7.5166 2.5389
ATOMIC_POSITIONS crystal
S 0.0602 0.3811 0.6757
S 0.2610 0.2610 0.3251
S 0.6189 0.9398 0.3243
S 0.3811 0.0602 0.6757
Zr 0.0000 0.0000 0.5000
Tm 0.3333 0.6667 0.5000
Cs 0.1683 0.8317 0.0000
Cs 0.8317 0.1683 0.0000
S 0.9398 0.6189 0.3243
Tm 0.6667 0.3333 0.5000
S 0.7390 0.7390 0.6749


[7]
! Cs3Tm2ZrS6, relaxed, DFT PBE; values from VASP
! Total moment, μB/f.u.: 0.0
! Density of states at the Fermi level, states/eV/cell: 3.88
! Energy relative to the elements, uncorrected, eV per atom: -1.671
&SYSTEM
  ibrav = 0, nat = 12, ntyp = 4
/
ATOMIC_SPECIES
Tm 168.93 Tm.upf
S 32.06 S.upf
Zr 91.22 Zr.upf
Cs 132.91 Cs.upf
CELL_PARAMETERS angstrom
6.8805 -0.0009 0.0003
-3.4394 5.9592 0.0003
-1.1474 -1.9867 8.0566
ATOMIC_POSITIONS crystal
Tm 0.6666 0.3334 0.0000
S 0.2637 0.2637 0.8198
S 0.3837 0.0599 0.1795
Zr 0.0000 0.0000 0.0000
S 0.7363 0.7363 0.1802
Cs 0.5000 0.5000 0.5000
Cs 0.1679 0.8321 0.5000
Tm 0.3334 0.6666 0.0000
Cs 0.8321 0.1679 0.5000
S 0.9401 0.6163 0.8205
S 0.6163 0.9401 0.8205
S 0.0599 0.3837 0.1795


[8]
! Cs3Tm3ZrS8, relaxed, DFT PBE; values from VASP
! Total moment, μB/f.u.: 0.0
! Density of states at the Fermi level, states/eV/cell: 0.00
! Energy relative to the elements, uncorrected, eV per atom: -1.802
&SYSTEM
  ibrav = 0, nat = 15, ntyp = 4
/
ATOMIC_SPECIES
Cs 132.91 Cs.upf
S 32.06 S.upf
Tm 168.93 Tm.upf
Zr 91.22 Zr.upf
CELL_PARAMETERS angstrom
-1.9133 5.7412 -5.0807
-5.6833 -4.1045 3.6470
4.4418 6.2619 5.4032
ATOMIC_POSITIONS crystal
Cs 0.5000 0.5000 0.0000
S 0.7261 0.4522 0.6782
Cs 0.0000 0.5000 0.0000
Tm 0.0000 0.5000 0.5000
Cs 0.0000 0.0000 0.0000
S 0.2739 0.5478 0.3218
Tm 0.5000 0.5000 0.5000
S 0.2187 0.9561 0.6748
S 0.2187 0.4375 0.6748
S 0.2626 0.0439 0.3252
S 0.7813 0.0439 0.3252
S 0.7813 0.5625 0.3252
Tm 0.5000 0.0000 0.5000
S 0.7374 0.9561 0.6748
Zr 0.0000 0.0000 0.5000


[9]
! CsU4S6, relaxed, DFT PBE; values from VASP
! Total moment, μB/f.u.: 11.0
! Density of states at the Fermi level, states/eV/cell: 12.25
! Energy relative to the elements, uncorrected, eV per atom: -1.029
&SYSTEM
  ibrav = 0, nat = 11, ntyp = 3
/
ATOMIC_SPECIES
Cs 132.91 Cs.upf
S 32.06 S.upf
U 238.03 U.upf
CELL_PARAMETERS angstrom
7.2679 -0.0351 -0.0517
-3.3915 6.4281 0.0517
-3.3915 -2.3153 5.9969
ATOMIC_POSITIONS crystal
Cs 0.0000 0.0000 0.0000
S 0.6704 0.1340 0.1340
U 0.0000 0.5867 0.2428
S 0.0000 0.8660 0.5363
S 0.5000 0.0000 0.5000
U 0.0000 0.2428 0.5867
S 0.5000 0.5000 0.0000
U 0.3439 0.7572 0.7572
S 0.0000 0.5363 0.8660
S 0.3296 0.4637 0.4637
U 0.6561 0.4133 0.4133


[10]
! CsU3S9, relaxed, DFT PBE; values from VASP
! Total moment, μB/f.u.: 1.1
! Density of states at the Fermi level, states/eV/cell: 10.21
! Energy relative to the elements, uncorrected, eV per atom: -1.084
&SYSTEM
  ibrav = 0, nat = 13, ntyp = 3
/
ATOMIC_SPECIES
U 238.03 U.upf
S 32.06 S.upf
Cs 132.91 Cs.upf
CELL_PARAMETERS angstrom
-4.4530 0.4915 2.4399
2.0653 -7.8830 5.3571
2.6796 8.8467 3.1083
ATOMIC_POSITIONS crystal
U 0.5000 0.0000 0.5000
S 0.5000 0.7973 0.5946
S 0.0000 0.5000 0.5000
S 0.5000 0.2027 0.4054
U 0.5000 0.5000 0.5000
U 0.5000 0.5000 0.0000
S 0.0000 0.5000 0.0000
S 0.5000 0.7973 0.2027
S 0.5000 0.5946 0.7973
Cs 0.0000 0.0000 0.0000
S 0.5000 0.2027 0.7973
S 0.5000 0.4054 0.2027
S 0.0000 0.0000 0.5000


[11]
! CsU2S5, relaxed, DFT PBE; values from VASP
! Total moment, μB/f.u.: 3.0
! Density of states at the Fermi level, states/eV/cell: 12.04
! Energy relative to the elements, uncorrected, eV per atom: -1.363
&SYSTEM
  ibrav = 0, nat = 8, ntyp = 3
/
ATOMIC_SPECIES
U 238.03 U.upf
S 32.06 S.upf
Cs 132.91 Cs.upf
CELL_PARAMETERS angstrom
-1.4050 -1.0682 -3.8201
5.7862 -4.8986 -3.0761
0.4456 -8.1671 -0.1979
ATOMIC_POSITIONS crystal
U 0.8142 0.6858 0.6858
S 0.6630 0.5839 0.0902
S 0.3370 0.4161 0.9098
U 0.1858 0.3142 0.3142
Cs 0.0000 0.0000 0.0000
S 0.0000 0.5000 0.5000
S 0.6630 0.0902 0.5839
S 0.3370 0.9098 0.4161


[12]
! Cs3U2S6, relaxed, DFT PBE; values from VASP
! Total moment, μB/f.u.: 3.0
! Density of states at the Fermi level, states/eV/cell: 11.88
! Energy relative to the elements, uncorrected, eV per atom: -1.278
&SYSTEM
  ibrav = 0, nat = 11, ntyp = 3
/
ATOMIC_SPECIES
S 32.06 S.upf
U 238.03 U.upf
Cs 132.91 Cs.upf
CELL_PARAMETERS angstrom
-2.3837 4.6128 0.6002
-3.4195 -2.1949 3.2879
11.6849 1.8736 9.2487
ATOMIC_POSITIONS crystal
S 0.9133 0.4133 0.8266
U 0.6026 0.6026 0.2051
S 0.3132 0.3132 0.6264
S 0.0867 0.5867 0.1734
U 0.3974 0.3974 0.7949
S 0.5867 0.0867 0.1734
S 0.4133 0.9133 0.8266
Cs 0.8128 0.8128 0.6255
Cs 0.0000 0.0000 0.0000
S 0.6868 0.6868 0.3736
Cs 0.1872 0.1872 0.3745


Repeat the second record exactly.
! CsTmUS4, relaxed, DFT PBE; values from VASP
! Total moment, μB/f.u.: 2.0
! Density of states at the Fermi level, states/eV/cell: 9.98
! Energy relative to the elements, uncorrected, eV per atom: -1.522
&SYSTEM
  ibrav = 0, nat = 14, ntyp = 4
/
ATOMIC_SPECIES
S 32.06 S.upf
Cs 132.91 Cs.upf
Tm 168.93 Tm.upf
U 238.03 U.upf
CELL_PARAMETERS angstrom
-3.2531 4.5369 -6.5788
2.9143 -7.8939 -1.2268
-7.1971 1.2923 4.4500
ATOMIC_POSITIONS crystal
S 0.2709 0.5417 0.3236
Cs 0.1222 0.2444 0.8722
Tm 0.5000 0.0000 0.5000
S 0.7291 0.4583 0.2818
S 0.2769 0.9511 0.7256
S 0.7291 0.4583 0.6764
U 0.5000 0.5000 0.5000
S 0.6743 0.9511 0.7256
Cs 0.8778 0.7556 0.1278
Tm 0.5000 0.0000 0.0000
S 0.3257 0.0489 0.2744
S 0.7231 0.0489 0.2744
U 0.0000 0.5000 0.5000
S 0.2709 0.5417 0.7182


> total moment of number 12 (Cs3U2S6)?

3.0 μB/f.u.


> Which formula does entry 6 have?

Cs2Tm2ZrS6


> What is the formula in the tenth record?

CsU3S9